A plane-wave DFT calculation with PBE with a Hubbard U was carried out for a relaxed structure of CsCoPbF6.

```
CsCoPbF6
1.0
-1.853 8.012 0.172
-5.773 -1.236 -4.630
0.700 -4.196 6.327
Cs Co Pb F
2 2 2 12
direct
0.848 0.598 0.696
0.152 0.402 0.304
0.500 0.500 0.000
0.500 0.000 0.000
0.500 0.000 0.500
0.000 0.000 0.500
0.550 0.800 0.100
0.870 0.120 0.740
0.784 0.154 0.248
0.464 0.595 0.248
0.464 0.154 0.248
0.784 0.595 0.248
0.450 0.200 0.900
0.130 0.880 0.260
0.216 0.846 0.752
0.536 0.405 0.752
0.536 0.846 0.752
0.216 0.405 0.752
```

Summary:
energy	-4.596	eV per atom